Entry A
DFT (PBE) results for a relaxed structure of SmYEr2.

The structure belongs to space group Fm-3m (No. 225); the cell edges are 8.021, 8.021 and 8.021 Å and the angles 90.00°, 90.00° and 90.00°. The distinct sites, in fractional coordinates, are Sm at (0.000, 0.000, 0.000), Y at (0.000, 0.000, 0.500) and Er at (0.250, 0.250, 0.250).

As for the crystal system: cubic. For the density of states at the Fermi level, the calculation gives 2.178 states/eV/atom. The calculation puts the size of the total moment at 0.002 Bohr magnetons per cell.



Entry B
DFT (PBE) results for a relaxed structure of SmYEr2.

The structure belongs to space group R3m (No. 160, hexagonal axes); the cell edges are 3.5795, 3.5795 and 34.4288 Å and the angles 90.00°, 90.00° and 120.00°. The distinct sites, in fractional coordinates, are Sm at (0.0000, 0.0000, 0.0000), Y at (0.0000, 0.0000, 0.1658), Er at (0.0000, 0.0000, 0.5823) and Er at (0.0000, 0.0000, 0.7499).

As for the crystal system: trigonal. For the density of states at the Fermi level, the calculation gives 1.459 states/eV/atom. The calculation puts the size of the total moment at 0.008 Bohr magnetons per cell.



The structure shown above that is least stable: entry A.